1.
# PrTlP2Se6

A relaxed structure of PrTlP2Se6 (PBE, OQMD via LeMat-Bulk).

```
data_PrTlP2Se6
_chemical_formula_sum 'Pr4 Tl4 P8 Se24'
_space_group_name_H-M_alt 'P 1 21/c 1'
_space_group_IT_number 14
_cell_length_a 12.616
_cell_length_b 7.855
_cell_length_c 11.954
_cell_angle_alpha 90.00
_cell_angle_beta 109.24
_cell_angle_gamma 90.00
loop_
_space_group_symop_operation_xyz
'x,y,z'
'-x,-y,-z'
'-x,y+1/2,-z+1/2'
'x,-y+1/2,z+1/2'
loop_
_atom_site_label
_atom_site_fract_x
_atom_site_fract_y
_atom_site_fract_z
_atom_site_occupancy
Pr1 0.148 0.102 0.405 1
Tl1 0.372 0.593 0.625 1
P1 0.174 0.595 0.245 1
P2 0.288 0.120 0.731 1
Se1 0.049 0.031 0.815 1
Se2 0.088 0.691 0.063 1
Se3 0.170 0.184 0.131 1
Se4 0.283 0.712 0.861 1
Se5 0.368 0.215 0.914 1
Se6 0.387 0.019 0.626 1
```



2.
# PrSm2P3

A relaxed structure of PrSm2P3 (PBE, OQMD via LeMat-Bulk).

```
data_PrSm2P3
_chemical_formula_sum 'Pr1 Sm2 P3'
_space_group_name_H-M_alt 'P -3 m 1'
_space_group_IT_number 164
_space_group_name_Hall '-P 3 2"'
_cell_length_a 4.1411
_cell_length_b 4.1411
_cell_length_c 10.1265
_cell_angle_alpha 90.00
_cell_angle_beta 90.00
_cell_angle_gamma 120.00
loop_
_atom_site_label
_atom_site_fract_x
_atom_site_fract_y
_atom_site_fract_z
_atom_site_occupancy
Pr1 0.0000 0.0000 0.0000 1
Sm1 0.3333 0.6667 0.3355 1
P1 0.0000 0.0000 0.5000 1
P2 0.3333 0.6667 0.8284 1
```



3.
# Tb2PrP3

A relaxed structure of Tb2PrP3 (PBE, OQMD via LeMat-Bulk).

```
data_Tb2PrP3
_chemical_formula_sum 'Tb2 Pr1 P3'
_space_group_name_H-M_alt 'P -3 m 1'
_space_group_IT_number 164
_space_group_name_Hall '-P 3 2"'
_cell_length_a 4.0866
_cell_length_b 4.0866
_cell_length_c 10.0023
_cell_angle_alpha 90.00
_cell_angle_beta 90.00
_cell_angle_gamma 120.00
loop_
_atom_site_label
_atom_site_fract_x
_atom_site_fract_y
_atom_site_fract_z
_atom_site_occupancy
Tb1 0.3333 0.6667 0.3376 1
Pr1 0.0000 0.0000 0.0000 1
P1 0.0000 0.0000 0.5000 1
P2 0.3333 0.6667 0.8242 1
```



4.
# TbPr3P

A relaxed structure of TbPr3P (PBE, OQMD via LeMat-Bulk).

```
data_TbPr3P
_chemical_formula_sum 'Tb6 Pr18 P6'
_space_group_name_H-M_alt 'R -3 c'
_space_group_IT_number 167
_space_group_name_Hall '-R 3 2"c'
_cell_length_a 7.9618
_cell_length_b 7.9618
_cell_length_c 19.0360
_cell_angle_alpha 90.00
_cell_angle_beta 90.00
_cell_angle_gamma 120.00
loop_
_atom_site_label
_atom_site_fract_x
_atom_site_fract_y
_atom_site_fract_z
_atom_site_occupancy
Tb1 0.0000 0.0000 0.2500 1
Pr1 0.0000 0.4500 0.2500 1
P1 0.0000 0.0000 0.0000 1
```



5.
# TbPrZn2P4

A relaxed structure of TbPrZn2P4 (PBE, OQMD via LeMat-Bulk).

```
data_TbPrZn2P4
_chemical_formula_sum 'Tb1 Pr1 Zn2 P4'
_space_group_name_H-M_alt 'P 4 m m'
_space_group_IT_number 99
_cell_length_a 3.868
_cell_length_b 3.868
_cell_length_c 10.068
_cell_angle_alpha 90.00
_cell_angle_beta 90.00
_cell_angle_gamma 90.00
loop_
_space_group_symop_operation_xyz
'x,y,z'
'-y,x,z'
'-x,-y,z'
'y,-x,z'
'-x,y,z'
'y,x,z'
'x,-y,z'
'-y,-x,z'
loop_
_atom_site_label
_atom_site_fract_x
_atom_site_fract_y
_atom_site_fract_z
_atom_site_occupancy
Tb1 0.000 0.000 0.000 1
Pr1 0.500 0.500 0.429 1
Zn1 0.000 0.500 0.720 1
P1 0.000 0.000 0.562 1
P2 0.000 0.500 0.207 1
P3 0.500 0.500 0.881 1
```



6.
# PrTc4P2

A relaxed structure of PrTc4P2 (PBE, OQMD via LeMat-Bulk).

```
data_PrTc4P2
_chemical_formula_sum 'Pr2 Tc8 P4'
_space_group_name_H-M_alt 'C m m m'
_space_group_IT_number 65
_space_group_name_Hall '-C 2 2'
_cell_length_a 4.085
_cell_length_b 13.831
_cell_length_c 4.046
_cell_angle_alpha 90.00
_cell_angle_beta 90.00
_cell_angle_gamma 90.00
loop_
_atom_site_label
_atom_site_fract_x
_atom_site_fract_y
_atom_site_fract_z
_atom_site_occupancy
Pr1 0.000 0.000 0.000 1
Tc1 0.000 0.185 0.500 1
Tc2 0.000 0.307 0.000 1
P1 0.000 0.410 0.500 1
```



In eV/atom, the DFT total energy values for the records above are, in order, -4.546; -6.626; -6.617; -5.254; -4.910; -8.841.